1.
Below is crystalline Pm2GaSi4Ni3 at its relaxed geometry, with properties calculated at the PBE level.

Structure (POSCAR):
```
Pm2GaSi4Ni3
1.0
-2.3067 1.8830 -2.7293
1.8879 -1.9875 -2.9667
-6.6371 -7.2311 0.6207
Pm Si Ni Ga
2 4 3 1
Direct
0.0000 0.5000 0.7588
0.5000 0.0000 0.2412
0.0000 0.5000 0.3535
0.5000 0.0000 0.6465
0.5000 0.5000 0.0000
0.0000 0.0000 0.0000
0.5000 0.0000 0.8821
0.0000 0.5000 0.1179
0.0000 0.0000 0.5000
0.5000 0.5000 0.5000
```

Results
- SG: P-4m2, No. 115
- Magnetization: 0.00 μB/f.u.
- E: -5.915 eV/atom
- Raw formation energy: -759 meV/atom

=====

2.
Below is crystalline BaNa6Sr2 at its relaxed geometry, with properties calculated at the PBE level.

Structure (POSCAR):
```
BaNa6Sr2
1.0
4.1204 0.0000 0.0000
2.0602 10.7362 1.3626
2.0602 4.3880 9.8928
Na Ba Sr
6 1 2
Direct
0.0000 0.1764 0.8236
0.8271 0.8455 0.5003
0.0000 0.8236 0.1764
0.8271 0.5003 0.8455
0.1729 0.4997 0.1545
0.1729 0.1545 0.4997
0.5000 0.5000 0.5000
0.3567 0.1433 0.1433
0.6433 0.8567 0.8567
```

Results
- Energy of formation from the pure elements: 6.46 kJ per mole of atoms
- Excess energy over the best structure of this formula in the dataset: 31 meV per atom
- SG: Immm, No. 71
- Magnetization: 0.00 μB/f.u.
- E: -1.400 eV/atom

=====

Question: Which formula does entry 2 have?
Answer: BaNa6Sr2